No. 1
The following is a PBE calculation of crystalline Ac3Tb3Dy2 at its relaxed geometry, from the Alexandria database.

Cell lengths 10.0673, 10.0673, 6.7831 Å; angles 90.00, 90.00, 120.00 degrees
Last column: nearest neighbours and their distance in Å.
Space group P6_3/mcm (No. 193)
Symmetry-distinct sites (fractional):
1 Ac 0.0000 0.2355 0.2500 [6 per cell]  5 Tb 3.52-3.84
2 Tb 0.0000 0.4150 0.7500 [6 per cell]  4 Dy 3.47, 5 Ac 3.52-3.84, 2 Tb 3.80
3 Dy 0.3333 0.6667 0.0000 [4 per cell]  2 Dy 3.39, 6 Tb 3.47

Uncorrected energy (eV/cell): -68.00
Formation enthalpy at 0 K (eV/atom): 0.178

No. 2
The following is a PBE calculation of crystalline Ac3Tb2Dy at its relaxed geometry, from the Alexandria database.

Cell lengths 10.7643, 7.5232, 12.5205 Å; angles 90.00, 115.41, 90.00 degrees
Last column: nearest neighbours and their distance in Å.
Space group C2/c (No. 15)
Symmetry-distinct sites (fractional):
1 Ac 0.0000 0.1236 0.2500 [4 per cell]  2 Dy 3.76, 6 Tb 3.77-3.79, 4 Ac 3.78-3.79
2 Ac 0.1662 0.3744 0.0833 [8 per cell]  5 Tb 3.76-3.79, 3 Dy 3.77-3.79, 4 Ac 3.78-3.79
3 Tb 0.1673 0.1254 0.5835 [8 per cell]  8 Ac 3.76-3.79, 2 Tb 3.78-3.80, 2 Dy 3.78-3.79
4 Dy 0.0000 0.3761 0.7500 [4 per cell]  8 Ac 3.76-3.79, 4 Tb 3.78-3.79

Uncorrected energy (eV/cell): -102.90
Formation enthalpy at 0 K (eV/atom): 0.077